The following is a PBE with a Hubbard U calculation of an optimized crystal structure of CoTePbO, from the Open Quantum Materials Database.

The energy relative to the lowest polymorph listed for this composition comes out at 255 kJ/mol of formula units.

The structure belongs to space group P4/nmm (No. 129, origin choice 2); the cell edges are 4.385, 4.385 and 8.819 Å and the angles 90.00°, 90.00° and 90.00°. The inequivalent atoms are Co at (0.250, 0.250, 0.246), Te at (0.250, 0.250, 0.817), Pb at (0.250, 0.750, 0.500) and O at (0.250, 0.250, 0.031).